[1]
# SrSe2Br

A relaxed SrSe2Br crystal (PBE, the Alexandria database).

abc: 5.8287 5.8287 9.4742
angles: 72.08 72.08 90.00
Last column: nearest neighbours and their distance in Å.
Element x y z (fractional)
Se 0.3750 0.4216 0.7500  2 Br 2.84, 2 Sr 3.11
Se 0.8750 0.8284 0.7500  2 Br 2.84, 2 Sr 3.11
Se 0.5784 0.1250 0.2500  2 Br 2.84, 2 Sr 3.11
Se 0.1716 0.6250 0.2500  2 Br 2.84, 2 Sr 3.11
Br 0.5000 0.5000 0.0000  4 Se 2.84
Br 0.2500 0.7500 0.5000  4 Se 2.84
Sr 0.7500 0.2500 0.5000  4 Se 3.11
Sr 0.0000 0.0000 0.0000  4 Se 3.11

## Properties
* energy relative to the elements, uncorrected: -0.485 eV per atom
* VASP energy: -0.113 Ha/atom
* excess energy over the best structure of this formula in the dataset: 682 meV per atom
* DOS at the Fermi energy: 0.1503 states/eV per atom
* SG: I-42d


[2]
# Sr2SeBr

A relaxed Sr2SeBr crystal (PBE, the Alexandria database).

abc: 4.3164 4.1620 7.6886
angles: 87.46 90.00 90.00
Last column: nearest neighbours and their distance in Å.
Element x y z (fractional)
Sr 0.0000 0.4532 0.5238  2 Se 3.07, 2 Br 3.16
Sr 0.0000 0.0468 0.9762  2 Se 3.07, 2 Br 3.16
Br 0.5000 0.2500 0.2500  4 Sr 3.16
Se 0.5000 0.7500 0.7500  4 Sr 3.07

## Properties
* energy relative to the elements, uncorrected: -1.507 eV per atom
* VASP energy: -0.134 Ha/atom
* excess energy over the best structure of this formula in the dataset: 224 meV per atom
* DOS at the Fermi energy: 0.5153 states/eV per atom
* SG: P2/m